(1)
VASP calculation (PBE) on an optimized crystal structure of BaFeTe2.

Calculated values
The calculated total energy is -4.532 eV per atom.

abc: 4.2043 4.2043 7.9796
angles: 90.00 90.00 90.00
Sites, in units of the cell vectors:
Fe 0.5000 0.5000 0.9277
Ba 0.0000 0.0000 0.4430
Te 0.5000 0.5000 0.2548
Te 0.0000 0.0000 0.8744

***

(2)
VASP calculation (PBE) on an optimized crystal structure of TaNb4In.

Calculated values
The value obtained for the energy of formation is 63 kJ/mol of formula units.

abc: 4.8037 4.8037 5.6842
angles: 90.00 90.00 120.00
Sites, in units of the cell vectors:
In 0.0000 0.0000 0.5000
Ta 0.0000 0.0000 0.0000
Nb 0.6667 0.3333 0.7626
Nb 0.3333 0.6667 0.2374
Nb 0.6667 0.3333 0.2374
Nb 0.3333 0.6667 0.7626